Version one
A relaxed CsTi3Fe crystal. Source: Alexandria via LeMat-Bulk, functional PBE.

Summary:
- Space group: Pm-3m (221)
- Calculated volume: 21.6 Å³ per atom

Cell: 4.7632 4.7632 4.7632 Å, 90.00 90.00 90.00°
Last column: nearest neighbours and their distance in Å.
Atoms (fractional coordinates):
1 Ti 0.0000 0.5000 0.0000  2 Fe 2.38
2 Ti 0.5000 0.0000 0.0000  2 Fe 2.38
3 Ti 0.0000 0.0000 0.5000  2 Fe 2.38
4 Fe 0.0000 0.0000 0.0000  6 Ti 2.38
5 Cs 0.5000 0.5000 0.5000  12 Ti 3.37

=====

Version two
A relaxed CsTi3Fe crystal. Source: Alexandria via LeMat-Bulk, functional PBE.

Summary:
- Space group: Pm-3m (221)
- Calculated volume: 23.8 Å³ per atom

Cell: 4.9165 4.9165 4.9165 Å, 90.00 90.00 90.00°
Last column: nearest neighbours and their distance in Å.
Atoms (fractional coordinates):
1 Fe 0.5000 0.5000 0.5000  12 Ti 3.48
2 Ti 0.0000 0.5000 0.0000  2 Cs 2.46
3 Ti 0.5000 0.0000 0.0000  2 Cs 2.46
4 Ti 0.0000 0.0000 0.5000  2 Cs 2.46
5 Cs 0.0000 0.0000 0.0000  6 Ti 2.46

=====

Most stable structure, least stable structure: version one, version two.

=====

Version one
A relaxed CsTlFe2 crystal. Source: Alexandria via LeMat-Bulk, functional PBE.

Summary:
- Space group: Fm-3m (225)
- Calculated volume: 24.7 Å³ per atom

Cell: 5.1858 5.1858 5.1858 Å, 60.00 60.00 60.00°
Last column: nearest neighbours and their distance in Å.
Atoms (fractional coordinates):
1 Fe 0.7500 0.7500 0.7500  4 Tl 3.18, 4 Cs 3.18
2 Fe 0.2500 0.2500 0.2500  4 Tl 3.18, 4 Cs 3.18
3 Cs 0.0000 0.0000 0.0000  8 Fe 3.18
4 Tl 0.5000 0.5000 0.5000  8 Fe 3.18

=====

Version two
A relaxed CsTlFe2 crystal. Source: Alexandria via LeMat-Bulk, functional PBE.

Summary:
- Space group: I-42d (122)
- Calculated volume: 29.7 Å³ per atom

Cell: 4.7255 4.7255 11.1475 Å, 77.76 77.76 90.00°
Last column: nearest neighbours and their distance in Å.
Atoms (fractional coordinates):
1 Cs 0.5000 0.5000 0.0000  4 Fe 2.95
2 Cs 0.2500 0.7500 0.5000  4 Fe 2.95
3 Fe 0.4795 0.1250 0.2500  2 Fe 2.56
4 Fe 0.8750 0.7295 0.7500  2 Fe 2.56
5 Fe 0.3750 0.5205 0.7500  2 Fe 2.56
6 Fe 0.2705 0.6250 0.2500  2 Fe 2.56
7 Tl 0.0000 0.0000 0.0000  4 Cs 3.34, 4 Fe 3.46
8 Tl 0.7500 0.2500 0.5000  4 Cs 3.34, 4 Fe 3.46

=====

Most stable structure, least stable structure: version one, version two.

=====

Version one
A relaxed CsFeW3 crystal. Source: Alexandria via LeMat-Bulk, functional PBE.

Summary:
- Space group: Pm-3m (221)
- Calculated volume: 23.3 Å³ per atom

Cell: 4.8838 4.8838 4.8838 Å, 90.00 90.00 90.00°
Last column: nearest neighbours and their distance in Å.
Atoms (fractional coordinates):
1 W 0.0000 0.5000 0.0000  2 Cs 2.44
2 W 0.0000 0.0000 0.5000  2 Cs 2.44
3 W 0.5000 0.0000 0.0000  2 Cs 2.44
4 Cs 0.0000 0.0000 0.0000  6 W 2.44
5 Fe 0.5000 0.5000 0.5000  12 W 3.45

=====

Version two
A relaxed CsFeW3 crystal. Source: Alexandria via LeMat-Bulk, functional PBE.

Summary:
- Space group: Pm-3m (221)
- Calculated volume: 20.6 Å³ per atom

Cell: 4.6905 4.6905 4.6905 Å, 90.00 90.00 90.00°
Last column: nearest neighbours and their distance in Å.
Atoms (fractional coordinates):
1 Cs 0.5000 0.5000 0.5000  12 W 3.32
2 W 0.5000 0.0000 0.0000  2 Fe 2.35
3 W 0.0000 0.0000 0.5000  2 Fe 2.35
4 W 0.0000 0.5000 0.0000  2 Fe 2.35
5 Fe 0.0000 0.0000 0.0000  6 W 2.35

=====

Most stable structure, least stable structure: version two, version one.

=====

Version one
A relaxed CsFe2W crystal. Source: Alexandria via LeMat-Bulk, functional PBE.

Summary:
- Space group: I-42d (122)
- Calculated volume: 24.9 Å³ per atom

Cell: 7.4461 7.4461 6.3760 Å, 54.27 54.27 90.00°
Last column: nearest neighbours and their distance in Å.
Atoms (fractional coordinates):
1 Fe 0.0284 0.6250 0.2500  2 W 2.36
2 Fe 0.8750 0.9716 0.7500  2 W 2.36
3 Fe 0.7216 0.1250 0.2500  2 W 2.36
4 Fe 0.3750 0.2784 0.7500  2 W 2.36
5 W 0.7500 0.2500 0.5000  4 Fe 2.36
6 W 0.0000 0.0000 0.0000  4 Fe 2.36
7 Cs 0.2500 0.7500 0.5000  8 Fe 3.31-3.47, 2 W 3.60
8 Cs 0.5000 0.5000 0.0000  8 Fe 3.31-3.47, 2 W 3.60

=====

Version two
A relaxed CsFe2W crystal. Source: Alexandria via LeMat-Bulk, functional PBE.

Summary:
- Space group: Fm-3m (225)
- Calculated volume: 17.8 Å³ per atom

Cell: 4.6562 4.6562 4.6562 Å, 60.00 60.00 60.00°
Last column: nearest neighbours and their distance in Å.
Atoms (fractional coordinates):
1 W 0.5000 0.5000 0.5000  8 Fe 2.85
2 Cs 0.0000 0.0000 0.0000  8 Fe 2.85
3 Fe 0.2500 0.2500 0.2500  4 W 2.85, 4 Cs 2.85
4 Fe 0.7500 0.7500 0.7500  4 Cs 2.85, 4 W 2.85

=====

Most stable structure, least stable structure: version one, version two.

=====

Version one
A relaxed CsY3Fe crystal. Source: Alexandria via LeMat-Bulk, functional PBE.

Summary:
- Space group: Pm-3m (221)
- Calculated volume: 33.0 Å³ per atom

Cell: 5.4870 5.4870 5.4870 Å, 90.00 90.00 90.00°
Last column: nearest neighbours and their distance in Å.
Atoms (fractional coordinates):
1 Y 0.0000 0.5000 0.0000  2 Fe 2.74
2 Y 0.5000 0.0000 0.0000  2 Fe 2.74
3 Y 0.0000 0.0000 0.5000  2 Fe 2.74
4 Cs 0.5000 0.5000 0.5000  12 Y 3.88
5 Fe 0.0000 0.0000 0.0000  6 Y 2.74

=====

Version two
A relaxed CsY3Fe crystal. Source: Alexandria via LeMat-Bulk, functional PBE.

Summary:
- Space group: Pm-3m (221)
- Calculated volume: 34.4 Å³ per atom

Cell: 5.5605 5.5605 5.5605 Å, 90.00 90.00 90.00°
Last column: nearest neighbours and their distance in Å.
Atoms (fractional coordinates):
1 Y 0.0000 0.0000 0.5000  2 Cs 2.78
2 Y 0.0000 0.5000 0.0000  2 Cs 2.78
3 Y 0.5000 0.0000 0.0000  2 Cs 2.78
4 Fe 0.5000 0.5000 0.5000  12 Y 3.93
5 Cs 0.0000 0.0000 0.0000  6 Y 2.78

=====

Most stable structure, least stable structure: version one, version two.

=====

Version one
A relaxed CsY2Fe crystal. Source: Alexandria via LeMat-Bulk, functional PBE.

Summary:
- Space group: Fm-3m (225)
- Calculated volume: 28.3 Å³ per atom

Cell: 5.4274 5.4274 5.4274 Å, 60.00 60.00 60.00°
Last column: nearest neighbours and their distance in Å.
Atoms (fractional coordinates):
1 Y 0.7500 0.7500 0.7500  4 Cs 3.32, 4 Fe 3.32
2 Y 0.2500 0.2500 0.2500  4 Fe 3.32, 4 Cs 3.32
3 Fe 0.0000 0.0000 0.0000  8 Y 3.32
4 Cs 0.5000 0.5000 0.5000  8 Y 3.32

=====

Version two
A relaxed CsY2Fe crystal. Source: Alexandria via LeMat-Bulk, functional PBE.

Summary:
- Space group: I-42d (122)
- Calculated volume: 44.0 Å³ per atom

Cell: 7.9240 7.9240 7.9249 Å, 60.00 60.00 90.00°
Last column: nearest neighbours and their distance in Å.
Atoms (fractional coordinates):
1 Cs 0.7500 0.2500 0.5000  12 Y 4.64-4.65, 4 Fe 4.85, 4 Cs 4.85
2 Cs 0.0000 0.0000 0.0000  12 Y 4.64-4.65, 4 Fe 4.85, 4 Cs 4.85
3 Y 0.3759 0.1250 0.2500  2 Fe 2.43
4 Y 0.3741 0.6250 0.2500  2 Fe 2.43
5 Y 0.8750 0.6259 0.7500  2 Fe 2.43
6 Y 0.3750 0.6241 0.7500  2 Fe 2.43
7 Fe 0.5000 0.5000 0.0000  4 Y 2.43
8 Fe 0.2500 0.7500 0.5000  4 Y 2.43

=====

Most stable structure, least stable structure: version two, version one.

=====

Version one
A relaxed CsYFe3 crystal. Source: Alexandria via LeMat-Bulk, functional PBE.

Summary:
- Space group: Pm-3m (221)
- Calculated volume: 30.9 Å³ per atom

Cell: 5.3637 5.3637 5.3637 Å, 90.00 90.00 90.00°
Last column: nearest neighbours and their distance in Å.
Atoms (fractional coordinates):
1 Cs 0.5000 0.5000 0.5000  12 Fe 3.79
2 Y 0.0000 0.0000 0.0000  6 Fe 2.68
3 Fe 0.5000 0.0000 0.0000  2 Y 2.68
4 Fe 0.0000 0.0000 0.5000  2 Y 2.68
5 Fe 0.0000 0.5000 0.0000  2 Y 2.68

=====

Version two
A relaxed CsYFe3 crystal. Source: Alexandria via LeMat-Bulk, functional PBE.

Summary:
- Space group: Pm-3m (221)
- Calculated volume: 22.3 Å³ per atom

Cell: 4.8131 4.8131 4.8131 Å, 90.00 90.00 90.00°
Last column: nearest neighbours and their distance in Å.
Atoms (fractional coordinates):
1 Fe 0.0000 0.5000 0.0000  2 Cs 2.41
2 Fe 0.0000 0.0000 0.5000  2 Cs 2.41
3 Fe 0.5000 0.0000 0.0000  2 Cs 2.41
4 Y 0.5000 0.5000 0.5000  12 Fe 3.40
5 Cs 0.0000 0.0000 0.0000  6 Fe 2.41

=====

Most stable structure, least stable structure: version one, version two.

=====

Version one
A relaxed CsZnFe3 crystal. Source: Alexandria via LeMat-Bulk, functional PBE.

Summary:
- Space group: Pm-3m (221)
- Calculated volume: 22.8 Å³ per atom

Cell: 4.8480 4.8480 4.8480 Å, 90.00 90.00 90.00°
Last column: nearest neighbours and their distance in Å.
Atoms (fractional coordinates):
1 Zn 0.0000 0.0000 0.0000  6 Fe 2.42
2 Fe 0.0000 0.5000 0.0000  2 Zn 2.42
3 Fe 0.0000 0.0000 0.5000  2 Zn 2.42
4 Fe 0.5000 0.0000 0.0000  2 Zn 2.42
5 Cs 0.5000 0.5000 0.5000  12 Fe 3.43

=====

Version two
A relaxed CsZnFe3 crystal. Source: Alexandria via LeMat-Bulk, functional PBE.

Summary:
- Space group: Pm-3m (221)
- Calculated volume: 22.5 Å³ per atom

Cell: 4.8247 4.8247 4.8247 Å, 90.00 90.00 90.00°
Last column: nearest neighbours and their distance in Å.
Atoms (fractional coordinates):
1 Fe 0.5000 0.0000 0.0000  2 Cs 2.41
2 Fe 0.0000 0.0000 0.5000  2 Cs 2.41
3 Fe 0.0000 0.5000 0.0000  2 Cs 2.41
4 Cs 0.0000 0.0000 0.0000  6 Fe 2.41
5 Zn 0.5000 0.5000 0.5000  12 Fe 3.41

=====

Most stable structure, least stable structure: version one, version two.

=====

Version one
A relaxed CsZrFe3 crystal. Source: Alexandria via LeMat-Bulk, functional PBE.

Summary:
- Space group: Pm-3m (221)
- Calculated volume: 20.7 Å³ per atom

Cell: 4.6922 4.6922 4.6922 Å, 90.00 90.00 90.00°
Last column: nearest neighbours and their distance in Å.
Atoms (fractional coordinates):
1 Fe 0.5000 0.0000 0.0000  2 Cs 2.35
2 Fe 0.0000 0.5000 0.0000  2 Cs 2.35
3 Fe 0.0000 0.0000 0.5000  2 Cs 2.35
4 Cs 0.0000 0.0000 0.0000  6 Fe 2.35
5 Zr 0.5000 0.5000 0.5000  12 Fe 3.32

=====

Version two
A relaxed CsZrFe3 crystal. Source: Alexandria via LeMat-Bulk, functional PBE.

Summary:
- Space group: Pm-3m (221)
- Calculated volume: 26.9 Å³ per atom

Cell: 5.1212 5.1212 5.1212 Å, 90.00 90.00 90.00°
Last column: nearest neighbours and their distance in Å.
Atoms (fractional coordinates):
1 Zr 0.0000 0.0000 0.0000  6 Fe 2.56
2 Fe 0.5000 0.0000 0.0000  2 Zr 2.56
3 Fe 0.0000 0.5000 0.0000  2 Zr 2.56
4 Fe 0.0000 0.0000 0.5000  2 Zr 2.56
5 Cs 0.5000 0.5000 0.5000  12 Fe 3.62

=====

Most stable structure, least stable structure: version two, version one.

=====

Version one
A relaxed CsGa crystal. Source: Alexandria via LeMat-Bulk, functional PBE.

Summary:
- Space group: Cmcm (63)
- Calculated volume: 45.0 Å³ per atom

Cell: 4.6033 6.2611 6.9794 Å, 116.64 90.00 90.00°
Last column: nearest neighbours and their distance in Å.
Atoms (fractional coordinates):
1 Ga 0.2500 0.9655 0.9296  2 Ga 2.46
2 Ga 0.7500 0.0345 0.0704  2 Ga 2.46
3 Cs 0.7500 0.3455 0.6913  7 Ga 3.87-4.16
4 Cs 0.2500 0.6545 0.3087  7 Ga 3.87-4.16

=====

Version two
A relaxed CsGa crystal. Source: Alexandria via LeMat-Bulk, functional PBE.

Summary:
- Space group: Pmmn (59)
- Calculated volume: 49.7 Å³ per atom

Cell: 4.5838 7.6418 17.0374 Å, 90.00 90.00 90.00°
Last column: nearest neighbours and their distance in Å.
Atoms (fractional coordinates):
1 Cs 0.5000 0.7711 0.2764  3 Ga 3.68-3.84
2 Cs 0.0000 0.2289 0.7764  3 Ga 3.68-3.84
3 Cs 0.5000 0.7711 0.7236  3 Ga 3.68-3.84
4 Cs 0.0000 0.2289 0.2236  3 Ga 3.68-3.84
5 Cs 0.5000 0.5386 0.0000  6 Ga 3.96-4.26
6 Cs 0.0000 0.4614 0.5000  6 Ga 3.96-4.26
7 Ga 0.5000 0.9913 0.5000  4 Ga 2.68
8 Ga 0.0000 0.9764 0.5815  3 Ga 2.68-2.78
9 Ga 0.0000 0.9764 0.4185  3 Ga 2.68-2.78
10 Ga 0.5000 0.0236 0.9185  3 Ga 2.68-2.78
11 Ga 0.0000 0.0087 0.0000  4 Ga 2.68
12 Ga 0.5000 0.0236 0.0815  3 Ga 2.68-2.78

=====

Most stable structure, least stable structure: version one, version two.

=====

Version one
A relaxed CsGa crystal. Source: Alexandria via LeMat-Bulk, functional PBE.

Summary:
- Space group: P6_3/mmc (194)
- Calculated volume: 68.8 Å³ per atom

Cell: 6.4421 6.4421 7.6562 Å, 90.00 90.00 120.00°
Last column: nearest neighbours and their distance in Å.
Atoms (fractional coordinates):
1 Cs 0.3333 0.6667 0.7500  5 Ga 3.72-3.83
2 Cs 0.6667 0.3333 0.2500  5 Ga 3.72-3.83
3 Ga 0.6667 0.3333 0.7500  5 Cs 3.72-3.83
4 Ga 0.3333 0.6667 0.2500  5 Cs 3.72-3.83

=====

Version two
A relaxed CsGa crystal. Source: Alexandria via LeMat-Bulk, functional PBE.

Summary:
- Space group: P4/m (83)
- Calculated volume: 53.0 Å³ per atom

Cell: 13.4758 13.4758 4.6687 Å, 90.00 90.00 90.00°
Last column: nearest neighbours and their distance in Å.
Atoms (fractional coordinates):
1 Cs 0.6959 0.6518 0.5000  4 Ga 3.92-4.04
2 Cs 0.6518 0.3041 0.5000  4 Ga 3.92-4.04
3 Cs 0.2403 0.0289 0.0000  4 Ga 3.60-4.02
4 Cs 0.9711 0.2403 0.0000  4 Ga 3.60-4.02
5 Cs 0.3041 0.3482 0.5000  4 Ga 3.92-4.04
6 Cs 0.3482 0.6959 0.5000  4 Ga 3.92-4.04
7 Cs 0.7597 0.9711 0.0000  4 Ga 3.60-4.02
8 Cs 0.0289 0.7597 0.0000  4 Ga 3.60-4.02
9 Ga 0.8948 0.5287 0.0000  2 Ga 2.58
10 Ga 0.5513 0.9145 0.5000  3 Ga 2.58-2.69
11 Ga 0.9145 0.4487 0.5000  3 Ga 2.58-2.69
12 Ga 0.4487 0.0855 0.5000  3 Ga 2.58-2.69
13 Ga 0.4713 0.8948 0.0000  2 Ga 2.58
14 Ga 0.0855 0.5513 0.5000  3 Ga 2.58-2.69
15 Ga 0.5287 0.1052 0.0000  2 Ga 2.58
16 Ga 0.1052 0.4713 0.0000  2 Ga 2.58

=====

Version three
A relaxed CsGa crystal. Source: Alexandria via LeMat-Bulk, functional PBE.

Summary:
- Space group: Pmn2_1 (31)
- Calculated volume: 44.1 Å³ per atom

Cell: 15.8248 4.7005 7.1195 Å, 90.00 90.00 90.00°
Last column: nearest neighbours and their distance in Å.
Atoms (fractional coordinates):
1 Cs 0.5000 0.2626 0.5607  2 Ga 3.55-3.57
2 Cs 0.2327 0.2453 0.1093  3 Ga 3.71-4.08
3 Cs 0.7673 0.2453 0.1093  3 Ga 3.71-4.08
4 Cs 0.7327 0.7547 0.6093  3 Ga 3.71-4.08
5 Cs 0.0000 0.7375 0.0607  2 Ga 3.55-3.57
6 Cs 0.2673 0.7547 0.6093  3 Ga 3.71-4.08
7 Ga 0.0000 0.7585 0.5618  4 Ga 2.71-2.73
8 Ga 0.5000 0.2415 0.0618  4 Ga 2.71-2.73
9 Ga 0.5862 0.7435 0.0805  3 Ga 2.71-2.73
10 Ga 0.0862 0.2565 0.5805  3 Ga 2.71-2.73
11 Ga 0.4138 0.7435 0.0805  3 Ga 2.71-2.73
12 Ga 0.9138 0.2565 0.5805  3 Ga 2.71-2.73

=====

Most stable structure, least stable structure: version two, version one.

=====

Version one
A relaxed CsGa2 crystal. Source: Alexandria via LeMat-Bulk, functional PBE.

Summary:
- Space group: P2_1/m (11)
- Calculated volume: 39.4 Å³ per atom

Cell: 4.4345 4.6985 11.3647 Å, 87.54 90.00 90.00°
Last column: nearest neighbours and their distance in Å.
Atoms (fractional coordinates):
1 Ga 0.7500 0.3279 0.6183  4 Ga 2.62-2.77
2 Ga 0.7500 0.8220 0.5015  6 Ga 2.62-2.78
3 Ga 0.2500 0.1780 0.4985  6 Ga 2.62-2.78
4 Ga 0.2500 0.6721 0.3817  4 Ga 2.62-2.77
5 Cs 0.7500 0.2290 0.2103  7 Ga 3.66-3.95
6 Cs 0.2500 0.7710 0.7897  7 Ga 3.66-3.95

=====

Version two
A relaxed CsGa2 crystal. Source: Alexandria via LeMat-Bulk, functional PBE.

Summary:
- Space group: I4/mmm (139)
- Calculated volume: 32.1 Å³ per atom

Cell: 3.7548 3.7548 7.3334 Å, 104.83 104.83 90.00°
Last column: nearest neighbours and their distance in Å.
Atoms (fractional coordinates):
1 Ga 0.2778 0.2778 0.5556  4 Ga 2.76
2 Ga 0.7222 0.7222 0.4444  4 Ga 2.76
3 Cs 0.0000 0.0000 0.0000  4 Cs 3.75, 10 Ga 3.80-4.03

=====

Most stable structure, least stable structure: version one, version two.